[1]
{"formula": "CuNi2Os", "functional": "PBE", "state": "optimized geometry", "lattice_angstrom": [[-0.579, 0.361, -2.476], [2.257, -1.111, 0.520], [-3.699, -7.629, -0.249]], "species": ["Cu", "Os", "Ni", "Ni"], "fractional_positions": [[0.500, 0.500, 0.750], [0.500, 0.500, 0.250], [0.000, 0.000, 0.995], [0.000, 0.000, 0.505]], "n_ef_per_ev_fu": 6.0, "dft_energy_ev_per_atom": -6.467, "formation_energy_ev_per_atom": 0.255, "crystal_system": "orthorhombic"}

[2]
{"formula": "AcAl2Au", "functional": "PBE", "state": "optimized geometry", "lattice_angstrom": [[4.807, 0.000, 0.000], [-2.404, 5.547, 0.000], [0.000, 0.000, 7.029]], "species": ["Al", "Al", "Al", "Al", "Ac", "Ac", "Au", "Au"], "fractional_positions": [[0.462, 0.924, 0.500], [0.048, 0.096, 0.310], [0.871, 0.743, 0.000], [0.048, 0.096, 0.690], [0.571, 0.141, 0.000], [0.757, 0.515, 0.500], [0.286, 0.572, 0.200], [0.286, 0.572, 0.800]], "n_ef_per_ev_fu": 1.5, "dft_energy_ev_per_atom": -4.204, "formation_energy_ev_per_atom": -0.487, "crystal_system": "orthorhombic"}

[3]
{"formula": "MgAlPd", "functional": "PBE", "state": "optimized geometry", "lattice_angstrom": [[-1.993, 1.340, 2.157], [-2.661, -3.362, -0.371], [3.585, -3.438, 5.446]], "species": ["Mg", "Mg", "Pd", "Pd", "Al", "Al"], "fractional_positions": [[0.750, 0.250, 0.879], [0.250, 0.750, 0.121], [0.750, 0.250, 0.265], [0.250, 0.750, 0.735], [0.750, 0.750, 0.466], [0.250, 0.250, 0.534]], "n_ef_per_ev_fu": 1.1, "dft_energy_ev_per_atom": -4.107, "formation_energy_ev_per_atom": -0.597, "crystal_system": "orthorhombic"}

[4]
{"formula": "AlFe2TcH", "functional": "PBE", "state": "optimized geometry", "lattice_angstrom": [[3.716, 0.000, 0.000], [0.000, 3.716, 0.000], [0.000, 0.000, 3.956]], "species": ["Al", "H", "Fe", "Fe", "Tc"], "fractional_positions": [[0.500, 0.500, 0.500], [0.000, 0.000, 0.000], [0.500, 0.000, 0.000], [0.000, 0.500, 0.000], [0.000, 0.000, 0.500]], "n_ef_per_ev_fu": 4.0, "dft_energy_ev_per_atom": -6.965, "crystal_system": "tetragonal"}